Computed, not measured: an optimized crystal structure of AcNd5SmY2 at the GGA-PBE level of DFT.

Cell: 5.885 9.336 12.270 Å, 90.00 90.00 108.37°
Positions (direct):
Ac: 0.615 0.229 0.924
Ac: 0.385 0.771 0.424
Nd: 0.421 0.841 0.088
Nd: 0.768 0.536 0.720
Nd: 0.422 0.845 0.766
Nd: 0.231 0.463 0.630
Nd: 0.938 0.877 0.572
Nd: 0.579 0.159 0.588
Nd: 0.232 0.464 0.220
Nd: 0.578 0.155 0.266
Nd: 0.769 0.537 0.130
Nd: 0.062 0.123 0.072
Sm: 0.748 0.495 0.424
Sm: 0.252 0.505 0.924
Y: 0.889 0.778 0.924
Y: 0.062 0.125 0.777
Y: 0.111 0.222 0.424
Y: 0.938 0.875 0.277

Properties
Total moment: 0.00 μB per atom
ΔE_f: 80 meV per atom
ρ: 6.6 g/cm³
Crystal system: orthorhombic